Ca4FePt: relaxed, PBE.

space-group type: F-43m
ρ: 4.2 g cm⁻³
final energy: -2.9631 eV/atom

a = 6.132 Å, b = 6.132 Å, c = 6.132 Å
α = 60.00°, β = 60.00°, γ = 60.00°
Sites, in units of the cell vectors:
Ca 0.125 0.125 0.125
Ca 0.125 0.125 0.625
Ca 0.125 0.625 0.125
Ca 0.625 0.125 0.125
Fe 0.750 0.750 0.750
Pt 0.500 0.500 0.500